This record from Alexandria describes an optimized crystal structure of MgCdS2. The functional is PBE.

magnetic moment: 0.0 μB/f.u.
density: 4.24 Mg/m³
calculated total energy: -3.60 eV per atom
D(E_F): 0.00 states/eV/cell

a = 6.5476 Å, b = 7.5584 Å, c = 6.3543 Å
α = 90.00°, β = 90.00°, γ = 90.00°
Closest atoms and distances in Å follow each position.
Fractional coordinates of all 16 atoms:
Mg: 0.2498 0.1238 0.0000  6 S 2.66-2.73
Mg: 0.2502 0.6238 0.5000  6 S 2.66-2.73
Mg: 0.7498 0.3762 0.0000  6 S 2.66-2.73
Mg: 0.7502 0.8762 0.5000  6 S 2.66-2.73
Cd: 0.2499 0.1302 0.4994  6 S 2.69-2.73
Cd: 0.2501 0.6302 0.9994  6 S 2.69-2.73
Cd: 0.7499 0.3698 0.4994  6 S 2.69-2.73
Cd: 0.7501 0.8698 0.9994  6 S 2.69-2.73
S: 0.0828 0.3756 0.2403  3 Mg 2.66-2.73, 3 Cd 2.69-2.73
S: 0.0828 0.8755 0.2581  3 Mg 2.67-2.72, 3 Cd 2.69-2.73
S: 0.4172 0.3755 0.7581  3 Mg 2.67-2.72, 3 Cd 2.69-2.73
S: 0.4172 0.8756 0.7403  3 Mg 2.66-2.73, 3 Cd 2.69-2.73
S: 0.5828 0.1244 0.2403  3 Mg 2.66-2.73, 3 Cd 2.69-2.73
S: 0.5828 0.6245 0.2581  3 Mg 2.67-2.72, 3 Cd 2.69-2.73
S: 0.9172 0.1245 0.7581  3 Mg 2.67-2.72, 3 Cd 2.69-2.73
S: 0.9172 0.6244 0.7403  3 Mg 2.66-2.73, 3 Cd 2.69-2.73

***

This record from Alexandria describes an optimized crystal structure of MgCdS2. The functional is PBE.

magnetic moment: 0.0 μB/f.u.
density: 4.31 Mg/m³
calculated total energy: -3.64 eV per atom
D(E_F): 0.00 states/eV/cell

a = 3.7956 Å, b = 3.7956 Å, c = 18.6249 Å
α = 90.00°, β = 90.00°, γ = 120.00°
Closest atoms and distances in Å follow each position.
Fractional coordinates of all 12 atoms:
Mg: 0.0000 0.0000 0.0000  6 S 2.64
Mg: 0.3333 0.6667 0.6667  6 S 2.64
Mg: 0.6667 0.3333 0.3333  6 S 2.64
Cd: 0.0000 0.0000 0.5000  6 S 2.73
Cd: 0.3333 0.6667 0.1667  6 S 2.73
Cd: 0.6667 0.3333 0.8333  6 S 2.73
S: 0.0000 0.0000 0.2545  3 Mg 2.64, 3 Cd 2.73
S: 0.0000 0.0000 0.7455  3 Mg 2.64, 3 Cd 2.73
S: 0.3333 0.6667 0.4122  3 Mg 2.64, 3 Cd 2.73
S: 0.3333 0.6667 0.9212  3 Mg 2.64, 3 Cd 2.73
S: 0.6667 0.3333 0.0788  3 Mg 2.64, 3 Cd 2.73
S: 0.6667 0.3333 0.5878  3 Mg 2.64, 3 Cd 2.73

***

This record from Alexandria describes an optimized crystal structure of MgCdS2. The functional is PBE.

magnetic moment: 0.0 μB/f.u.
density: 3.40 Mg/m³
calculated total energy: -3.72 eV per atom
D(E_F): 0.00 states/eV/cell

a = 4.1212 Å, b = 4.1212 Å, c = 6.6759 Å
α = 90.00°, β = 90.00°, γ = 120.00°
Closest atoms and distances in Å follow each position.
Fractional coordinates of all 4 atoms:
Mg: 0.0000 0.0000 0.0000  4 S 2.47-2.49
Cd: 0.3333 0.6667 0.4932  4 S 2.55-2.57
S: 0.0000 0.0000 0.6300  1 Mg 2.47, 3 Cd 2.55
S: 0.3333 0.6667 0.1086  3 Mg 2.49, 1 Cd 2.57

***

This record from Alexandria describes an optimized crystal structure of MgCdS2. The functional is PBE.

magnetic moment: 0.0 μB/f.u.
density: 3.78 Mg/m³
calculated total energy: -3.54 eV per atom
D(E_F): 0.00 states/eV/cell

a = 7.0268 Å, b = 3.7660 Å, c = 13.3472 Å
α = 90.00°, β = 90.00°, γ = 90.00°
Closest atoms and distances in Å follow each position.
Fractional coordinates of all 16 atoms:
Mg: 0.0608 0.2500 0.1079  5 S 2.47-2.71
Mg: 0.4392 0.7500 0.6079  5 S 2.47-2.71
Mg: 0.5608 0.2500 0.3921  5 S 2.47-2.71
Mg: 0.9392 0.7500 0.8921  5 S 2.47-2.71
Cd: 0.1150 0.7500 0.3795  4 S 2.50-2.68
Cd: 0.3850 0.2500 0.8795  4 S 2.50-2.68
Cd: 0.6150 0.7500 0.1205  4 S 2.50-2.68
Cd: 0.8850 0.2500 0.6205  4 S 2.50-2.68
S: 0.0467 0.2500 0.7871  2 Mg 2.47, 2 Cd 2.50-2.68
S: 0.2465 0.2500 0.5035  3 Mg 2.66-2.71, 2 Cd 2.67
S: 0.2535 0.7500 0.0035  3 Mg 2.66-2.71, 2 Cd 2.67
S: 0.4533 0.7500 0.2871  2 Mg 2.47, 2 Cd 2.50-2.68
S: 0.5467 0.2500 0.7129  2 Mg 2.47, 2 Cd 2.50-2.68
S: 0.7465 0.2500 0.9965  3 Mg 2.66-2.71, 2 Cd 2.67
S: 0.7535 0.7500 0.4965  3 Mg 2.66-2.71, 2 Cd 2.67
S: 0.9533 0.7500 0.2129  2 Mg 2.47, 2 Cd 2.50-2.68

***

This record from Alexandria describes an optimized crystal structure of MgCdS2. The functional is PBE.

magnetic moment: 0.0 μB/f.u.
density: 3.77 Mg/m³
calculated total energy: -3.57 eV per atom
D(E_F): 0.00 states/eV/cell

a = 7.7187 Å, b = 7.7187 Å, c = 12.7854 Å
α = 97.78°, β = 97.78°, γ = 70.60°
Closest atoms and distances in Å follow each position.
Fractional coordinates of all 32 atoms:
Mg: 0.0736 0.1376 0.1141  5 S 2.50-2.66
Mg: 0.1376 0.0736 0.6141  5 S 2.50-2.66
Mg: 0.2142 0.5422 0.6308  4 S 2.43-2.54
Mg: 0.4578 0.7858 0.8692  4 S 2.43-2.54
Mg: 0.5422 0.2142 0.1308  4 S 2.43-2.54
Mg: 0.7858 0.4578 0.3692  4 S 2.43-2.54
Mg: 0.8624 0.9264 0.3859  5 S 2.50-2.66
Mg: 0.9264 0.8624 0.8859  5 S 2.50-2.66
Cd: 0.0842 0.6458 0.1198  5 S 2.58-2.83
Cd: 0.2781 0.4502 0.3701  4 S 2.52-2.70
Cd: 0.3542 0.9158 0.3802  5 S 2.58-2.83
Cd: 0.4502 0.2781 0.8701  4 S 2.52-2.70
Cd: 0.5498 0.7219 0.1299  4 S 2.52-2.70
Cd: 0.6458 0.0842 0.6198  5 S 2.58-2.83
Cd: 0.7219 0.5498 0.6299  4 S 2.52-2.70
Cd: 0.9158 0.3542 0.8802  5 S 2.58-2.83
S: 0.0028 0.4337 0.2428  2 Mg 2.43-2.57, 2 Cd 2.52-2.68
S: 0.0628 0.9372 0.2500  2 Mg 2.50, 2 Cd 2.58
S: 0.1682 0.7639 0.5000  3 Mg 2.46-2.62, 1 Cd 2.70
S: 0.2364 0.3174 0.0176  2 Mg 2.54-2.66, 3 Cd 2.59-2.79
S: 0.2361 0.8318 0.0000  3 Mg 2.46-2.62, 1 Cd 2.70
S: 0.3174 0.2364 0.5176  2 Mg 2.54-2.66, 3 Cd 2.59-2.79
S: 0.4337 0.0028 0.7428  2 Mg 2.43-2.57, 2 Cd 2.52-2.68
S: 0.4958 0.5042 0.7500  2 Mg 2.44, 2 Cd 2.61
S: 0.5042 0.4958 0.2500  2 Mg 2.44, 2 Cd 2.61
S: 0.5663 0.9972 0.2572  2 Mg 2.43-2.57, 2 Cd 2.52-2.68
S: 0.6826 0.7636 0.4824  2 Mg 2.54-2.66, 3 Cd 2.59-2.79
S: 0.7639 0.1682 0.0000  3 Mg 2.46-2.62, 1 Cd 2.70
S: 0.7636 0.6826 0.9824  2 Mg 2.54-2.66, 3 Cd 2.59-2.79
S: 0.8318 0.2361 0.5000  3 Mg 2.46-2.62, 1 Cd 2.70
S: 0.9372 0.0628 0.7500  2 Mg 2.50, 2 Cd 2.58
S: 0.9972 0.5663 0.7572  2 Mg 2.43-2.57, 2 Cd 2.52-2.68

***

This record from Alexandria describes an optimized crystal structure of MgCdS2. The functional is PBE.

magnetic moment: 0.0 μB/f.u.
density: 4.29 Mg/m³
calculated total energy: -3.64 eV per atom
D(E_F): 0.00 states/eV/cell

a = 5.3688 Å, b = 5.3688 Å, c = 10.7831 Å
α = 90.00°, β = 90.00°, γ = 90.00°
Closest atoms and distances in Å follow each position.
Fractional coordinates of all 16 atoms:
Mg: 0.0000 0.2500 0.3750  6 S 2.60-2.69
Mg: 0.0000 0.7500 0.6250  6 S 2.60-2.69
Mg: 0.5000 0.2500 0.1250  6 S 2.60-2.69
Mg: 0.5000 0.7500 0.8750  6 S 2.60-2.69
Cd: 0.0000 0.2500 0.8750  6 S 2.69-2.79
Cd: 0.0000 0.7500 0.1250  6 S 2.69-2.79
Cd: 0.5000 0.2500 0.6250  6 S 2.69-2.79
Cd: 0.5000 0.7500 0.3750  6 S 2.69-2.79
S: 0.0000 0.2500 0.1335  3 Mg 2.60-2.69, 3 Cd 2.69-2.79
S: 0.0000 0.2500 0.6165  3 Mg 2.60-2.69, 3 Cd 2.69-2.79
S: 0.0000 0.7500 0.3835  3 Mg 2.60-2.69, 3 Cd 2.69-2.79
S: 0.0000 0.7500 0.8665  3 Mg 2.60-2.69, 3 Cd 2.69-2.79
S: 0.5000 0.2500 0.3665  3 Mg 2.60-2.69, 3 Cd 2.69-2.79
S: 0.5000 0.2500 0.8835  3 Mg 2.60-2.69, 3 Cd 2.69-2.79
S: 0.5000 0.7500 0.1165  3 Mg 2.60-2.69, 3 Cd 2.69-2.79
S: 0.5000 0.7500 0.6335  3 Mg 2.60-2.69, 3 Cd 2.69-2.79